A plane-wave DFT calculation with PBE was carried out for a geometry-optimized GaReAgMo2 structure.

Unit cell a=4.6050 b=4.6050 c=4.4113 alpha=90.00 beta=90.00 gamma=90.00
Closest atoms and distances in Å follow each position.
Element x y z (fractional)
Ga (0.0000, 0.0000, 0.0000)  2 Ag 2.21, 4 Mo 2.30
Re (0.5000, 0.5000, 0.5000)  8 Mo 3.19, 4 Ag 3.26
Ag (0.0000, 0.0000, 0.5000)  2 Ga 2.21
Mo (0.0000, 0.5000, 0.0000)  2 Ga 2.30
Mo (0.5000, 0.0000, 0.0000)  2 Ga 2.30

As for the calculated density: 9.864 g/cm³. As for the formation energy: 1.798 eV per atom. The crystal system is tetragonal. The calculation puts the final energy at -31.00 eV/cell.

A plane-wave DFT calculation with PBE was carried out for a geometry-optimized GaAg2MoRu structure.

Unit cell a=4.6209 b=4.6209 c=4.8173 alpha=90.00 beta=90.00 gamma=90.00
Closest atoms and distances in Å follow each position.
Element x y z (fractional)
Ga (0.0000, 0.0000, 0.0000)  4 Ag 2.31, 2 Mo 2.41
Ag (0.0000, 0.5000, 0.0000)  2 Ga 2.31
Ag (0.5000, 0.0000, 0.0000)  2 Ga 2.31
Mo (0.0000, 0.0000, 0.5000)  2 Ga 2.41
Ru (0.5000, 0.5000, 0.5000)  4 Mo 3.27, 8 Ag 3.34

As for the calculated density: 7.789 g/cm³. As for the formation energy: 1.426 eV per atom. The crystal system is tetragonal. The calculation puts the final energy at -21.71 eV/cell.